[1]
CuCl2F PBE optimized geometry; V = 160 Å³ per cell; raw formation energy = -0.227 eV/atom; E above lowest polymorph = 404 meV/atom; SG = I-42d, No. 122
1.0
-3.1842 3.1842 3.9551
3.1842 -3.1842 3.9551
3.1842 3.1842 -3.9551
Cu Cl F
2 4 2
Direct
0.0000 0.0000 0.0000
0.7500 0.2500 0.5000
0.0690 0.6250 0.9440
0.3750 0.3190 0.4440
0.6810 0.1250 0.0560
0.8750 0.9310 0.5560
0.2500 0.7500 0.5000
0.5000 0.5000 0.0000

***

[2]
Os2AuSe PBE optimized geometry; V = 65 Å³ per cell; raw formation energy = 0.996 eV/atom; SG = I-4m2, No. 119
1.0
-2.0858 2.0858 3.7068
2.0858 -2.0858 3.7068
2.0858 2.0858 -3.7068
Os Au Se
2 1 1
Direct
0.0000 0.0000 0.0000
0.7500 0.2500 0.5000
0.5000 0.5000 0.0000
0.2500 0.7500 0.5000

***

[3]
TaAl2W PBE optimized geometry; V = 65 Å³ per cell; E above lowest polymorph = 74 meV/atom; SG = Cm, No. 8
1.0
4.7176 -1.7958 0.0000
4.7176 1.7958 0.0000
-1.9252 0.0000 3.8086
Ta Al W
1 2 1
Direct
0.0000 0.0000 0.0000
0.2457 0.2457 0.7456
0.4987 0.4987 0.4986
0.7478 0.7478 0.2476

***

[4]
Na3YS PBE optimized geometry; V = 159 Å³ per cell; raw formation energy = -0.039 eV/atom; E above lowest polymorph = 0 meV/atom; SG = Pm-3m, No. 221
1.0
5.4143 0.0000 0.0000
0.0000 5.4143 0.0000
0.0000 0.0000 5.4143
Na Y S
3 1 1
Direct
0.0000 0.0000 0.5000
0.0000 0.5000 0.0000
0.5000 0.0000 0.0000
0.5000 0.5000 0.5000
0.0000 0.0000 0.0000

***

[5]
SrBrNO2 PBE optimized geometry; V = 128 Å³ per cell; raw formation energy = 0.649 eV/atom; SG = P4/mmm, No. 123
1.0
4.9235 0.0000 0.0000
0.0000 4.9235 0.0000
0.0000 0.0000 5.2731
Sr Br N O
1 1 1 2
Direct
0.0000 0.0000 0.0000
0.5000 0.5000 0.5000
0.0000 0.0000 0.5000
0.0000 0.5000 0.0000
0.5000 0.0000 0.0000

***

[6]
Tb2TlAgTe4 PBE optimized geometry; V = 523 Å³ per cell; raw formation energy = -0.971 eV/atom; SG = Cmcm, No. 63
1.0
2.2168 -7.4754 0.0000
2.2168 7.4754 0.0000
0.0000 0.0000 15.7775
Tb Tl Ag Te
4 2 2 8
Direct
0.1304 0.8696 0.5711
0.1304 0.8696 0.9289
0.8696 0.1304 0.0711
0.8696 0.1304 0.4289
0.3706 0.6294 0.7500
0.6294 0.3706 0.2500
0.3419 0.6581 0.2500
0.6581 0.3419 0.7500
0.0448 0.9552 0.7500
0.2302 0.7698 0.1063
0.2302 0.7698 0.3937
0.5000 0.5000 0.0000
0.5000 0.5000 0.5000
0.7698 0.2302 0.6063
0.7698 0.2302 0.8937
0.9552 0.0448 0.2500

***

[7]
RbNa6Sr2 PBE optimized geometry; V = 423 Å³ per cell; electronic total energy = -1.225 eV/atom; SG = Fm-3m, No. 225
1.0
0.0000 5.9575 5.9575
5.9575 0.0000 5.9575
5.9575 5.9575 0.0000
Rb Na Sr
1 6 2
Direct
0.0000 0.0000 0.0000
0.2948 0.2948 0.7052
0.2948 0.7052 0.2948
0.2948 0.7052 0.7052
0.7052 0.2948 0.2948
0.7052 0.2948 0.7052
0.7052 0.7052 0.2948
0.2500 0.2500 0.2500
0.7500 0.7500 0.7500

***

[8]
RbAg2IBr6 PBE optimized geometry; V = 397 Å³ per cell; raw formation energy = -0.493 eV/atom; SG = P1, No. 1
1.0
6.9316 0.0000 0.0000
1.8300 6.8623 0.0000
3.1894 1.0398 8.3506
Rb Ag I Br
1 2 1 6
Direct
0.0000 0.0000 0.0000
0.1714 0.1758 0.3319
0.6230 0.5942 0.1695
0.5983 0.4279 0.6386
0.0343 0.4770 0.1291
0.3412 0.7767 0.6451
0.4393 0.3396 0.4138
0.4564 0.9662 0.1064
0.7553 0.4924 0.8561
0.8827 0.0691 0.6041

***

[9]
Cs3TlCu2F9 PBE optimized geometry; V = 255 Å³ per cell; raw formation energy = -2.094 eV/atom; SG = P-3m1, No. 164
1.0
6.2121 0.0000 0.0000
-3.1061 5.3798 0.0000
0.0000 0.0000 7.6416
Cs Tl Cu F
3 1 2 9
Direct
0.0000 0.0000 0.0000
0.3333 0.6667 0.6748
0.6667 0.3333 0.3252
0.0000 0.0000 0.5000
0.3333 0.6667 0.1526
0.6667 0.3333 0.8474
0.0000 0.5000 0.0000
0.1776 0.3551 0.3184
0.1776 0.8224 0.3184
0.3551 0.1776 0.6816
0.5000 0.0000 0.0000
0.5000 0.5000 0.0000
0.6449 0.8224 0.3184
0.8224 0.1776 0.6816
0.8224 0.6449 0.6816

***

[10]
LaTc3S PBE optimized geometry; V = 92 Å³ per cell; raw formation energy = 0.109 eV/atom; E above lowest polymorph = 0 meV/atom; SG = Pm-3m, No. 221
1.0
4.5139 0.0000 0.0000
0.0000 4.5139 0.0000
0.0000 0.0000 4.5139
La Tc S
1 3 1
Direct
0.0000 0.0000 0.0000
0.0000 0.5000 0.5000
0.5000 0.0000 0.5000
0.5000 0.5000 0.0000
0.5000 0.5000 0.5000

***

[11]
ScAlRh3 PBE optimized geometry; V = 97 Å³ per cell; E above lowest polymorph = 809 meV/atom; SG = Pm-3m, No. 221
1.0
4.5993 0.0000 0.0000
0.0000 4.5993 0.0000
0.0000 0.0000 4.5993
Sc Al Rh
1 1 3
Direct
0.0000 0.0000 0.0000
0.5000 0.5000 0.5000
0.0000 0.0000 0.5000
0.0000 0.5000 0.0000
0.5000 0.0000 0.0000

***

[12]
RbYMgBr6 PBE optimized geometry; V = 689 Å³ per cell; raw formation energy = -1.738 eV/atom; SG = P-31c, No. 163
1.0
7.1754 0.0000 0.0000
-3.5877 6.2140 0.0000
0.0000 0.0000 15.4491
Rb Y Mg Br
2 2 2 12
Direct
0.0000 0.0000 0.0000
0.0000 0.0000 0.5000
0.3333 0.6667 0.2500
0.6667 0.3333 0.7500
0.3333 0.6667 0.7500
0.6667 0.3333 0.2500
0.0112 0.3794 0.6468
0.0112 0.6317 0.8532
0.3683 0.3794 0.8532
0.3683 0.9888 0.6468
0.3794 0.0112 0.1468
0.3794 0.3683 0.3532
0.6206 0.6317 0.6468
0.6206 0.9888 0.8532
0.6317 0.0112 0.3532
0.6317 0.6206 0.1468
0.9888 0.3683 0.1468
0.9888 0.6206 0.3532